The following is a DFT calculation (PBEsol) of a geometry-optimized Be2InGe2 structure.

Results
**Formation enthalpy at 0 K**: 0.259 eV/atom

abc: 4.016 4.016 9.921
angles: 90.00 90.00 90.00
Space group I4/mmm (No. 139)
Asymmetric unit:
Be 0.000 0.500 0.250 [4 per cell]
In 0.000 0.000 0.000 [2 per cell]
Ge 0.000 0.000 0.375 [4 per cell]

=====

The following is a DFT calculation (PBEsol) of a geometry-optimized Re2TcBr structure.

Results
**Polymorph energy (0 for the lowest one)**: 0.0 meV per atom
**Uncorrected formation energy**: 2.0 eV/f.u.

abc: 2.8589 2.8589 25.7422
angles: 90.00 90.00 120.00
Space group R3m (No. 160, hexagonal axes)
Asymmetric unit:
Re 0.0000 0.0000 0.0000 [3 per cell]
Re 0.0000 0.0000 0.2517 [3 per cell]
Tc 0.0000 0.0000 0.7487 [3 per cell]
Br 0.0000 0.0000 0.4969 [3 per cell]

=====

The following is a DFT calculation (PBEsol) of a geometry-optimized Sr2ScP structure.

Results
**Formation enthalpy at 0 K**: -0.517 eV/atom

abc: 4.110 4.827 12.452
angles: 90.00 90.00 90.00
Space group Amm2 (No. 38)
Asymmetric unit:
Sr 0.000 0.000 0.000 [2 per cell]
Sr 0.500 0.000 0.302 [2 per cell]
Sc 0.500 0.000 0.610 [2 per cell]
P 0.000 0.000 0.732 [2 per cell]

=====

The following is a DFT calculation (PBEsol) of a geometry-optimized LaYMo2 structure.

Results
**Polymorph energy (0 for the lowest one)**: 152.9 meV per atom
**Formation enthalpy at 0 K**: 0.807 eV/atom

abc: 3.2824 3.2824 26.9255
angles: 90.00 90.00 120.00
Space group R-3m (No. 166, hexagonal axes)
Asymmetric unit:
La 0.0000 0.0000 0.0000 [3 per cell]
Y 0.0000 0.0000 0.5000 [3 per cell]
Mo 0.0000 0.0000 0.2546 [6 per cell]

=====

The following is a DFT calculation (PBEsol) of a geometry-optimized KNiPb2 structure.

Results
**Formation enthalpy at 0 K**: 0.009 eV/atom

abc: 3.352 3.352 8.687
angles: 90.00 90.00 90.00
Space group P4/mmm (No. 123)
Asymmetric unit:
K 0.000 0.000 0.000 [1 per cell]
Ni 0.000 0.000 0.500 [1 per cell]
Pb 0.500 0.500 0.319 [2 per cell]

=====

The following is a DFT calculation (PBEsol) of a geometry-optimized CoBr2Cl structure.

Results
**Polymorph energy (0 for the lowest one)**: 247.1 meV per atom
**Uncorrected formation energy**: 0.5 eV/f.u.

abc: 3.035 3.035 9.652
angles: 90.00 90.00 90.00
Space group P4mm (No. 99)
Asymmetric unit:
Co 0.000 0.000 0.000 [1 per cell]
Br 0.000 0.000 0.512 [1 per cell]
Br 0.500 0.500 0.171 [1 per cell]
Cl 0.500 0.500 0.856 [1 per cell]

=====

The following is a DFT calculation (PBEsol) of a geometry-optimized ZrHgNO2 structure.

Results
**Uncorrected formation energy**: 1.5 eV/f.u.

abc: 4.063 4.063 4.149
angles: 90.00 90.00 90.00
Space group P4/mmm (No. 123)
Asymmetric unit:
Zr 0.000 0.000 0.000 [1 per cell]
Hg 0.500 0.500 0.500 [1 per cell]
N 0.500 0.500 0.000 [1 per cell]
O 0.000 0.500 0.500 [2 per cell]

=====

The following is a DFT calculation (PBEsol) of a geometry-optimized TmFe2SiC structure.

Results
**Uncorrected formation energy**: -3.2 eV/f.u.

abc: 3.663 10.271 6.607
angles: 90.00 90.00 90.00
Space group Cmcm (No. 63)
Asymmetric unit:
Tm 0.000 0.050 0.250 [4 per cell]
Fe 0.000 0.335 0.063 [8 per cell]
Si 0.000 0.231 0.750 [4 per cell]
C 0.000 0.500 0.000 [4 per cell]

=====

| no. | final energy (eV per atom) |
| --- | --- |
| 1 | -3.91 |
| 2 | -9.45 |
| 3 | -4.54 |
| 4 | -8.12 |
| 5 | -3.81 |
| 6 | -3.26 |
| 7 | -5.43 |
| 8 | -8.27 |